# Ta4SbAs

A relaxed structure of Ta4SbAs (PBE, the Alexandria database).

Properties
symmetry: No. 216
crystal system: cubic

a b c (Å): 5.5416 5.5416 5.5416
angles (deg): 60.00 60.00 60.00
With the nearest neighbours (Å) after each atom.
Fractional coordinates of all 6 atoms:
Ta (0.1251, 0.1251, 0.1251)  6 Ta 2.77
Ta (0.1251, 0.1251, 0.6248)  6 Ta 2.77
Ta (0.1251, 0.6248, 0.1251)  6 Ta 2.77
Ta (0.6248, 0.1251, 0.1251)  6 Ta 2.77
Sb (0.5000, 0.5000, 0.5000)  12 Ta 3.25, 4 As 3.39
As (0.7500, 0.7500, 0.7500)  12 Ta 3.25, 4 Sb 3.39

=====

# CsLiZnCl4

A relaxed structure of CsLiZnCl4 (PBE, the Alexandria database).

Properties
symmetry: No. 11
crystal system: monoclinic

a b c (Å): 6.1059 7.2177 9.6299
angles (deg): 90.00 106.04 90.00
With the nearest neighbours (Å) after each atom.
Fractional coordinates of all 14 atoms:
Cs (0.2403, 0.2500, 0.3762)  7 Cl 3.47-3.80
Cs (0.7597, 0.7500, 0.6238)  7 Cl 3.47-3.80
Li (0.3807, 0.7500, 0.0013)  3 Cl 2.36-2.60
Li (0.6193, 0.2500, 0.9987)  3 Cl 2.36-2.60
Zn (0.1231, 0.2500, 0.8008)  4 Cl 2.26-2.33
Zn (0.8769, 0.7500, 0.1992)  4 Cl 2.26-2.33
Cl (0.0083, 0.2500, 0.0043)  1 Zn 2.26, 1 Li 2.36
Cl (0.1577, 0.7500, 0.4096)  1 Zn 2.26
Cl (0.3760, 0.0063, 0.8104)  1 Zn 2.33, 1 Li 2.60
Cl (0.3760, 0.4937, 0.8104)  1 Zn 2.33, 1 Li 2.60
Cl (0.6240, 0.5063, 0.1896)  1 Zn 2.33, 1 Li 2.60
Cl (0.6240, 0.9937, 0.1896)  1 Zn 2.33, 1 Li 2.60
Cl (0.8423, 0.2500, 0.5904)  1 Zn 2.26
Cl (0.9917, 0.7500, 0.9957)  1 Zn 2.26, 1 Li 2.36

=====

| no. | formation energy from raw total energies (kcal/mol of atoms) | total DFT energy (no corrections) (eV/atom) |
| --- | --- | --- |
| 1 | 10.79 | -8.896 |
| 2 | -36.83 | -3.230 |